CaNbCd3 | SCAN | single point on PBEsol structure

E = -131.22 eV/cell
M_tot = 1.7 μB per formula unit
E above lowest polymorph = 0.000 eV/atom
ΔE_f = 2.8 eV per formula unit

Cell lengths 5.2796, 5.2796, 5.2796 Å; angles 90.00, 90.00, 90.00 degrees
Atoms (fractional coordinates):
Ca1 0.0000 0.0000 0.0000
Nb1 0.5000 0.5000 0.5000
Cd1 0.0000 0.5000 0.5000
Cd2 0.5000 0.0000 0.5000
Cd3 0.5000 0.5000 0.0000



Ca2CdNi | SCAN | single point on PBEsol structure

E = -66.43 eV/cell
M_tot = 0.0 μB per formula unit
ΔE_f = -0.5 eV per formula unit

Cell lengths 3.4699, 3.4846, 7.5046 Å; angles 90.00, 90.00, 90.00 degrees
Atoms (fractional coordinates):
Ca1 0.0000 0.0000 0.2173
Ca2 0.0000 0.0000 0.7827
Cd1 0.5000 0.5000 0.5000
Ni1 0.5000 0.5000 0.0000



CaCdNi2 | SCAN | single point on PBEsol structure

E = -70.56 eV/cell
M_tot = 0.0 μB per formula unit
ΔE_f = 1.9 eV per formula unit

Cell lengths 8.5528, 8.5528, 8.5528 Å; angles 20.44, 20.44, 20.44 degrees
Atoms (fractional coordinates):
Ca1 0.0000 0.0000 0.0000
Cd1 0.5000 0.5000 0.5000
Ni1 0.2465 0.2465 0.2465
Ni2 0.7535 0.7535 0.7535



CaCdNi2 | SCAN | single point on PBEsol structure

E = -71.77 eV/cell
M_tot = 0.0 μB per formula unit
ΔE_f = 0.7 eV per formula unit

Cell lengths 5.1143, 5.1143, 5.1143 Å; angles 135.73, 135.73, 64.39 degrees
Atoms (fractional coordinates):
Ca1 0.0000 0.0000 0.0000
Cd1 0.7500 0.2500 0.5000
Ni1 0.2500 0.7500 0.5000
Ni2 0.5000 0.5000 0.0000



CaZr2CdNi | SCAN | single point on PBEsol structure

E = -110.60 eV/cell
M_tot = 0.0 μB per formula unit
ΔE_f = 7.0 eV per formula unit

Cell lengths 5.0376, 5.0376, 4.3336 Å; angles 90.00, 90.00, 90.00 degrees
Atoms (fractional coordinates):
Ca1 0.0000 0.0000 0.0000
Zr1 0.0000 0.5000 0.0000
Zr2 0.5000 0.0000 0.0000
Cd1 0.5000 0.5000 0.5000
Ni1 0.0000 0.0000 0.5000



Ca3Cd5P8O28 | SCAN | single point on PBEsol structure

E = -549.07 eV/cell
M_tot = 0.0 μB per formula unit
Uncorrected formation energy = -2.5078 eV/atom

Cell lengths 6.6644, 6.7214, 13.2610 Å; angles 86.72, 83.51, 65.52 degrees
Atoms (fractional coordinates):
Ca1 0.0000 0.0000 0.0000
Ca2 0.0010 0.0120 0.5012
Ca3 0.5229 0.3701 0.8736
Cd1 0.1393 0.4285 0.1088
Cd2 0.1529 0.4313 0.6099
Cd3 0.3724 0.9416 0.2604
Cd4 0.3749 0.9464 0.7622
Cd5 0.5354 0.3583 0.3726
P1 0.0207 0.4534 0.8615
P2 0.0247 0.4458 0.3584
P3 0.5003 0.9147 0.0115
P4 0.5012 0.9284 0.5112
P5 0.6221 0.4904 0.1217
P6 0.6281 0.5020 0.6179
P7 0.8941 0.8772 0.2557
P8 0.8966 0.8773 0.7538
O1 0.0027 0.7968 0.6465
O2 0.0445 0.9299 0.3173
O3 0.0486 0.9252 0.8165
O4 0.1347 0.5133 0.9420
O5 0.1601 0.4858 0.4358
O6 0.1903 0.3210 0.2695
O7 0.2068 0.3290 0.7781
O8 0.3109 0.0415 0.0931
O9 0.3194 0.0499 0.5968
O10 0.3810 0.8797 0.4306
O11 0.3909 0.8518 0.9301
O12 0.4689 0.4459 0.0586
O13 0.4761 0.4521 0.5559
O14 0.5180 0.5703 0.2301
O15 0.5218 0.5809 0.7252
O16 0.6457 0.0311 0.9720
O17 0.6507 0.0414 0.4726
O18 0.6567 0.0538 0.2575
O19 0.6618 0.0567 0.7558
O20 0.6620 0.6974 0.0666
O21 0.6676 0.7056 0.5600
O22 0.8555 0.6728 0.8103
O23 0.8568 0.3116 0.1182
O24 0.8568 0.6735 0.3148
O25 0.8640 0.3244 0.6167
O26 0.8748 0.3385 0.4046
O27 0.8768 0.3365 0.9023
O28 0.9980 0.7955 0.1485



Ca2CdRhO | SCAN | single point on PBEsol structure

E = -92.30 eV/cell
M_tot = 0.0 μB per formula unit
Uncorrected formation energy = -0.5103 eV/atom

Cell lengths 5.6498, 5.6498, 3.7291 Å; angles 90.00, 90.00, 90.00 degrees
Atoms (fractional coordinates):
Ca1 0.0000 0.5000 0.0000
Ca2 0.5000 0.0000 0.0000
Cd1 0.0000 0.0000 0.5000
Rh1 0.5000 0.5000 0.0000
O1 0.5000 0.5000 0.5000



CaCdW2O8 | SCAN | single point on PBEsol structure

E = -258.32 eV/cell
M_tot = 0.0 μB per formula unit
Uncorrected formation energy = -2.4183 eV/atom

Cell lengths 6.6751, 6.6751, 6.6751 Å; angles 134.06, 134.06, 67.00 degrees
Atoms (fractional coordinates):
Ca1 0.0000 0.0000 0.0000
Cd1 0.2500 0.7500 0.5000
W1 0.5000 0.5000 0.0000
W2 0.7500 0.2500 0.5000
O1 0.9999 0.0981 0.4206
O2 0.2523 0.6534 0.0834
O3 0.3466 0.4301 0.5990
O4 0.4207 0.0001 0.0982
O5 0.5699 0.1689 0.9166
O6 0.6775 0.5793 0.5794
O7 0.8311 0.7477 0.4010
O8 0.9019 0.3225 0.9018



CaCd2Os | SCAN | single point on PBEsol structure

E = -140.92 eV/cell
M_tot = 0.0 μB per formula unit
ΔE_f = 1.5 eV per formula unit

Cell lengths 5.1785, 5.1785, 5.1785 Å; angles 131.21, 131.21, 71.48 degrees
Atoms (fractional coordinates):
Ca1 0.0000 0.0000 0.0000
Cd1 0.5000 0.5000 0.0000
Cd2 0.7500 0.2500 0.5000
Os1 0.2500 0.7500 0.5000



CaCd2Os | SCAN | single point on PBEsol structure

E = -141.38 eV/cell
M_tot = 0.0 μB per formula unit
ΔE_f = 1.0 eV per formula unit

Cell lengths 5.1063, 5.1063, 5.1063 Å; angles 130.00, 130.00, 73.41 degrees
Atoms (fractional coordinates):
Ca1 0.0000 0.0000 0.0000
Cd1 0.2500 0.7500 0.5000
Cd2 0.7500 0.2500 0.5000
Os1 0.5000 0.5000 0.0000



CaCdOs3 | SCAN | single point on PBEsol structure

E = -243.03 eV/cell
M_tot = 2.2 μB per formula unit
ΔE_f = 12.7 eV per formula unit

Cell lengths 4.8263, 4.8263, 4.8263 Å; angles 90.00, 90.00, 90.00 degrees
Atoms (fractional coordinates):
Ca1 0.0000 0.0000 0.0000
Cd1 0.5000 0.5000 0.5000
Os1 0.0000 0.5000 0.5000
Os2 0.5000 0.0000 0.5000
Os3 0.5000 0.5000 0.0000



Ca2CdOs | SCAN | single point on PBEsol structure

E = -120.37 eV/cell
M_tot = 0.0 μB per formula unit
ΔE_f = 1.3 eV per formula unit

Cell lengths 4.9099, 4.9099, 4.9099 Å; angles 60.00, 60.00, 60.00 degrees
Atoms (fractional coordinates):
Ca1 0.0000 0.0000 0.0000
Ca2 0.2500 0.2500 0.2500
Cd1 0.5000 0.5000 0.5000
Os1 0.7500 0.7500 0.7500



Ca2CdOs | SCAN | single point on PBEsol structure

E = -120.45 eV/cell
M_tot = 0.6 μB per formula unit
ΔE_f = 1.2 eV per formula unit

Cell lengths 5.1720, 5.1720, 3.2734 Å; angles 90.00, 90.00, 90.00 degrees
Atoms (fractional coordinates):
Ca1 0.0000 0.5000 0.0000
Ca2 0.5000 0.0000 0.0000
Cd1 0.0000 0.0000 0.5000
Os1 0.5000 0.5000 0.5000



CaCd3Os | SCAN | single point on PBEsol structure

E = -163.00 eV/cell
M_tot = 2.6 μB per formula unit
ΔE_f = 9.8 eV per formula unit

Cell lengths 5.3668, 5.3668, 5.3668 Å; angles 90.00, 90.00, 90.00 degrees
Atoms (fractional coordinates):
Ca1 0.0000 0.0000 0.0000
Cd1 0.0000 0.0000 0.5000
Cd2 0.0000 0.5000 0.0000
Cd3 0.5000 0.0000 0.0000
Os1 0.5000 0.5000 0.5000



CaZr2CdOs | SCAN | single point on PBEsol structure

E = -162.46 eV/cell
M_tot = 1.7 μB per formula unit
ΔE_f = 10.9 eV per formula unit

Cell lengths 4.7510, 4.7510, 4.8463 Å; angles 90.00, 90.00, 90.00 degrees
Atoms (fractional coordinates):
Ca1 0.0000 0.0000 0.0000
Zr1 0.0000 0.5000 0.0000
Zr2 0.5000 0.0000 0.0000
Cd1 0.0000 0.0000 0.5000
Os1 0.5000 0.5000 0.5000



Ca2CdP | SCAN | single point on PBEsol structure

E = -63.43 eV/cell
M_tot = 0.0 μB per formula unit
E above lowest polymorph = 0.000 eV/atom
ΔE_f = -3.3 eV per formula unit

Cell lengths 4.1702, 5.9472, 5.9472 Å; angles 41.94, 90.00, 90.00 degrees
Atoms (fractional coordinates):
Ca1 0.0000 0.0000 0.0000
Ca2 0.5000 0.2839 0.2839
Cd1 0.5000 0.5721 0.5721
P1 0.0000 0.7308 0.7308



Ca2CdP | SCAN | single point on PBEsol structure

E = -63.21 eV/cell
M_tot = 0.0 μB per formula unit
E above lowest polymorph = 0.054 eV/atom
ΔE_f = -3.1 eV per formula unit

Cell lengths 7.6640, 7.6640, 7.6640 Å; angles 31.98, 31.98, 31.98 degrees
Atoms (fractional coordinates):
Ca1 0.2312 0.2312 0.2312
Ca2 0.7688 0.7688 0.7688
Cd1 0.0000 0.0000 0.0000
P1 0.5000 0.5000 0.5000



Ca2CdP | SCAN | single point on PBEsol structure

E = -62.56 eV/cell
M_tot = 0.0 μB per formula unit
E above lowest polymorph = 0.216 eV/atom
ΔE_f = -2.4 eV per formula unit

Cell lengths 5.0940, 5.0940, 5.0940 Å; angles 119.53, 119.53, 90.82 degrees
Atoms (fractional coordinates):
Ca1 0.2500 0.7500 0.5000
Ca2 0.7500 0.2500 0.5000
Cd1 0.0000 0.0000 0.0000
P1 0.5000 0.5000 0.0000



Ca2CdP | SCAN | single point on PBEsol structure

E = -63.26 eV/cell
M_tot = 0.0 μB per formula unit
E above lowest polymorph = 0.043 eV/atom
ΔE_f = -3.1 eV per formula unit

Cell lengths 3.6268, 3.7090, 6.9127 Å; angles 90.00, 90.00, 90.00 degrees
Atoms (fractional coordinates):
Ca1 0.0000 0.0000 0.2139
Ca2 0.0000 0.0000 0.7861
Cd1 0.5000 0.5000 0.5000
P1 0.5000 0.5000 0.0000



Ca3CdP | SCAN | single point on PBEsol structure

E = -73.11 eV/cell
M_tot = 0.0 μB per formula unit
ΔE_f = -3.3 eV per formula unit

Cell lengths 5.4253, 5.4253, 5.4253 Å; angles 90.00, 90.00, 90.00 degrees
Atoms (fractional coordinates):
Ca1 0.0000 0.0000 0.5000
Ca2 0.0000 0.5000 0.0000
Ca3 0.5000 0.0000 0.0000
Cd1 0.5000 0.5000 0.5000
P1 0.0000 0.0000 0.0000